1.
# ErPaIn2O8

ErPaIn2O8 after structural relaxation (PBE-GGA, Alexandria).

a b c (Å): 6.1725 6.1725 6.1725
angles (deg): 110.87 110.87 106.71
Sites, in units of the cell vectors:
1 O 0.7338 0.0404 0.6934
2 O 0.2835 0.4673 0.1838
3 O 0.9596 0.6530 0.6934
4 O 0.9596 0.2662 0.3066
5 O 0.3470 0.0404 0.3066
6 O 0.5327 0.7165 0.8162
7 O 0.9003 0.7165 0.1838
8 O 0.2835 0.0997 0.8162
9 Er 0.2500 0.7500 0.5000
10 In 0.5000 0.5000 0.0000
11 In 0.7500 0.2500 0.5000
12 Pa 0.0000 0.0000 0.0000

- E_form (uncorrected) (meV/atom) = -2136


2.
# NaScSi

NaScSi after structural relaxation (PBE-GGA, Alexandria).

a b c (Å): 4.7645 4.7645 7.0006
angles (deg): 90.00 90.00 120.00
Sites, in units of the cell vectors:
1 Na 0.6667 0.3333 0.5000
2 Na 0.6667 0.3333 0.0000
3 Sc 0.3333 0.6667 0.7449
4 Sc 0.3333 0.6667 0.2551
5 Si 0.0000 0.0000 0.7039
6 Si 0.0000 0.0000 0.2961

- E_form (uncorrected) (meV/atom) = 94


3.
# RbHgTe4As2

RbHgTe4As2 after structural relaxation (PBE-GGA, Alexandria).

a b c (Å): 6.1909 7.3133 7.3133
angles (deg): 72.01 64.96 64.96
Sites, in units of the cell vectors:
1 Te 0.8824 0.5203 0.0410
2 Te 0.4438 0.4797 0.9590
3 Te 0.5562 0.0410 0.5203
4 Te 0.1176 0.9590 0.4797
5 As 0.1303 0.3697 0.3697
6 As 0.8697 0.6303 0.6303
7 Hg 0.5000 0.5000 0.5000
8 Rb 0.0000 0.0000 0.0000

- E_form (uncorrected) (meV/atom) = -95


no.,total magnetic moment (μB/cell)
1,1.2
2,0.0
3,0.0